# LiEuDySn

An optimized crystal structure of LiEuDySn (PBE, Alexandria).

Unit cell a=7.582 b=7.582 c=7.582 alpha=90.00 beta=90.00 gamma=90.00
Space group F-43m (No. 216)
Symmetry-distinct sites (fractional):
Li 0.000 0.000 0.000 [4 per cell]
Eu 0.250 0.250 0.250 [4 per cell]
Dy 0.250 0.250 0.750 [4 per cell]
Sn 0.000 0.000 0.500 [4 per cell]

Calculated density, g/cm³: 6.71
Calculated total energy, eV per atom: -5.60
Spin magnetization, μB/f.u.: 7.456